Record 1
# Fe2TcBiC PBE relaxed
# Calculated formation energy ... 2674 meV/atom
data_Fe2TcBiC
_chemical_formula_sum 'Fe2 Tc1 Bi1 C1'
_cell_length_a 4.878
_cell_length_b 4.430
_cell_length_c 4.878
_cell_angle_alpha 90.00
_cell_angle_beta 90.00
_cell_angle_gamma 90.00
_space_group_name_H-M_alt 'P 1'
_space_group_IT_number 1
loop_
_space_group_symop_operation_xyz
'x,y,z'
loop_
_atom_site_label
_atom_site_type_symbol
_atom_site_fract_x
_atom_site_fract_y
_atom_site_fract_z
_atom_site_occupancy
Fe1 Fe 0.500 0.000 0.000 1
Fe2 Fe 0.000 0.000 0.500 1
Bi1 Bi 0.000 0.000 0.000 1
Tc1 Tc 0.500 0.500 0.500 1
C1 C 0.000 0.500 0.000 1

Record 2
First-principles (PBE) data for an optimized crystal structure of FeBiTe2C, as listed in Alexandria via LeMat-Bulk.

The structure in CIF format:
```
data_FeBiTe2C
_chemical_formula_sum 'Fe1 Bi1 Te2 C1'
_cell_length_a 4.812
_cell_length_b 4.812
_cell_length_c 5.441
_cell_angle_alpha 90.00
_cell_angle_beta 90.00
_cell_angle_gamma 90.00
_space_group_name_H-M_alt 'P 1'
_space_group_IT_number 1
loop_
_space_group_symop_operation_xyz
'x,y,z'
loop_
_atom_site_label
_atom_site_type_symbol
_atom_site_fract_x
_atom_site_fract_y
_atom_site_fract_z
_atom_site_occupancy
Bi1 Bi 0.000 0.000 0.500 1
Te1 Te 0.000 0.500 0.000 1
Te2 Te 0.500 0.000 0.000 1
Fe1 Fe 0.000 0.000 0.000 1
C1 C 0.500 0.500 0.500 1
```

Record 3
# Th3FeBiC PBE relaxed
# Calculated formation energy ... -336 meV/atom
data_Th3FeBiC
_chemical_formula_sum 'Th6 Fe2 Bi2 C2'
_cell_length_a 3.853
_cell_length_b 9.067
_cell_length_c 8.957
_cell_angle_alpha 108.22
_cell_angle_beta 90.00
_cell_angle_gamma 90.00
_space_group_name_H-M_alt 'P 1'
_space_group_IT_number 1
loop_
_space_group_symop_operation_xyz
'x,y,z'
loop_
_atom_site_label
_atom_site_type_symbol
_atom_site_fract_x
_atom_site_fract_y
_atom_site_fract_z
_atom_site_occupancy
Th1 Th 0.250 0.705 0.460 1
Th2 Th 0.250 0.557 0.861 1
Th3 Th 0.750 0.295 0.540 1
Th4 Th 0.750 0.443 0.139 1
Th5 Th 0.250 0.146 0.809 1
Th6 Th 0.750 0.854 0.191 1
C1 C 0.250 0.643 0.163 1
C2 C 0.750 0.357 0.837 1
Fe1 Fe 0.750 0.951 0.540 1
Fe2 Fe 0.250 0.049 0.460 1
Bi1 Bi 0.250 0.165 0.202 1
Bi2 Bi 0.750 0.835 0.798 1

Record 4
# Y2FeBiC PBE relaxed
# Calculated formation energy ... -367 meV/atom
data_Y2FeBiC
_chemical_formula_sum 'Y2 Fe1 Bi1 C1'
_cell_length_a 5.090
_cell_length_b 5.090
_cell_length_c 3.931
_cell_angle_alpha 90.00
_cell_angle_beta 90.00
_cell_angle_gamma 90.00
_space_group_name_H-M_alt 'P 1'
_space_group_IT_number 1
loop_
_space_group_symop_operation_xyz
'x,y,z'
loop_
_atom_site_label
_atom_site_type_symbol
_atom_site_fract_x
_atom_site_fract_y
_atom_site_fract_z
_atom_site_occupancy
Y1 Y 0.000 0.500 0.000 1
Y2 Y 0.500 0.000 0.000 1
Fe1 Fe 0.000 0.000 0.500 1
Bi1 Bi 0.500 0.500 0.500 1
C1 C 0.000 0.000 0.000 1

Record 5
# Zn2FeBiC PBE relaxed
# Calculated formation energy ... 2505 meV/atom
data_Zn2FeBiC
_chemical_formula_sum 'Zn2 Fe1 Bi1 C1'
_cell_length_a 5.283
_cell_length_b 4.882
_cell_length_c 5.283
_cell_angle_alpha 90.00
_cell_angle_beta 90.00
_cell_angle_gamma 90.00
_space_group_name_H-M_alt 'P 1'
_space_group_IT_number 1
loop_
_space_group_symop_operation_xyz
'x,y,z'
loop_
_atom_site_label
_atom_site_type_symbol
_atom_site_fract_x
_atom_site_fract_y
_atom_site_fract_z
_atom_site_occupancy
C1 C 0.500 0.500 0.500 1
Zn1 Zn 0.000 0.000 0.500 1
Zn2 Zn 0.500 0.000 0.000 1
Fe1 Fe 0.000 0.500 0.000 1
Bi1 Bi 0.000 0.000 0.000 1

Record 6
# ZrFe2BiC PBE relaxed
# Calculated formation energy ... 1547 meV/atom
data_ZrFe2BiC
_chemical_formula_sum 'Zr1 Fe2 Bi1 C1'
_cell_length_a 4.910
_cell_length_b 4.245
_cell_length_c 4.910
_cell_angle_alpha 90.00
_cell_angle_beta 90.00
_cell_angle_gamma 90.00
_space_group_name_H-M_alt 'P 1'
_space_group_IT_number 1
loop_
_space_group_symop_operation_xyz
'x,y,z'
loop_
_atom_site_label
_atom_site_type_symbol
_atom_site_fract_x
_atom_site_fract_y
_atom_site_fract_z
_atom_site_occupancy
Zr1 Zr 0.000 0.000 0.000 1
C1 C 0.000 0.500 0.000 1
Fe1 Fe 0.000 0.000 0.500 1
Fe2 Fe 0.500 0.000 0.000 1
Bi1 Bi 0.500 0.500 0.500 1

Record 7
# GaBi2C PBE relaxed
# Calculated formation energy ... 1328 meV/atom
# Energy relative to the lowest polymorph listed for this composition ... 391.7 meV per atom
data_GaBi2C
_chemical_formula_sum 'Ga1 Bi2 C1'
_cell_length_a 4.955
_cell_length_b 4.955
_cell_length_c 4.955
_cell_angle_alpha 60.00
_cell_angle_beta 60.00
_cell_angle_gamma 60.00
_space_group_name_H-M_alt 'P 1'
_space_group_IT_number 1
loop_
_space_group_symop_operation_xyz
'x,y,z'
loop_
_atom_site_label
_atom_site_type_symbol
_atom_site_fract_x
_atom_site_fract_y
_atom_site_fract_z
_atom_site_occupancy
Bi1 Bi 0.750 0.750 0.750 1
Bi2 Bi 0.250 0.250 0.250 1
C1 C 0.000 0.000 0.000 1
Ga1 Ga 0.500 0.500 0.500 1

Record 8
# GaBi2C PBE relaxed
# Calculated formation energy ... 936 meV/atom
# Energy relative to the lowest polymorph listed for this composition ... 0.0 meV per atom
data_GaBi2C
_chemical_formula_sum 'Ga2 Bi4 C2'
_cell_length_a 6.142
_cell_length_b 6.142
_cell_length_c 7.216
_cell_angle_alpha 64.81
_cell_angle_beta 64.81
_cell_angle_gamma 90.00
_space_group_name_H-M_alt 'P 1'
_space_group_IT_number 1
loop_
_space_group_symop_operation_xyz
'x,y,z'
loop_
_atom_site_label
_atom_site_type_symbol
_atom_site_fract_x
_atom_site_fract_y
_atom_site_fract_z
_atom_site_occupancy
Ga1 Ga 0.000 0.000 0.000 1
Ga2 Ga 0.750 0.250 0.500 1
Bi1 Bi 0.375 0.434 0.750 1
Bi2 Bi 0.184 0.625 0.250 1
Bi3 Bi 0.566 0.125 0.250 1
Bi4 Bi 0.875 0.816 0.750 1
C1 C 0.500 0.500 0.000 1
C2 C 0.250 0.750 0.500 1

Record 9
# GaBi3C PBE relaxed
# Calculated formation energy ... 916 meV/atom
# Energy relative to the lowest polymorph listed for this composition ... 0.0 meV per atom
data_GaBi3C
_chemical_formula_sum 'Ga1 Bi3 C1'
_cell_length_a 5.048
_cell_length_b 5.048
_cell_length_c 5.048
_cell_angle_alpha 90.00
_cell_angle_beta 90.00
_cell_angle_gamma 90.00
_space_group_name_H-M_alt 'P 1'
_space_group_IT_number 1
loop_
_space_group_symop_operation_xyz
'x,y,z'
loop_
_atom_site_label
_atom_site_type_symbol
_atom_site_fract_x
_atom_site_fract_y
_atom_site_fract_z
_atom_site_occupancy
Bi1 Bi 0.000 0.500 0.000 1
Bi2 Bi 0.000 0.000 0.500 1
Bi3 Bi 0.500 0.000 0.000 1
C1 C 0.000 0.000 0.000 1
Ga1 Ga 0.500 0.500 0.500 1

Record 10
# GaBi3C PBE relaxed
# Calculated formation energy ... 1821 meV/atom
# Energy relative to the lowest polymorph listed for this composition ... 905.6 meV per atom
data_GaBi3C
_chemical_formula_sum 'Ga1 Bi3 C1'
_cell_length_a 5.476
_cell_length_b 5.476
_cell_length_c 5.476
_cell_angle_alpha 90.00
_cell_angle_beta 90.00
_cell_angle_gamma 90.00
_space_group_name_H-M_alt 'P 1'
_space_group_IT_number 1
loop_
_space_group_symop_operation_xyz
'x,y,z'
loop_
_atom_site_label
_atom_site_type_symbol
_atom_site_fract_x
_atom_site_fract_y
_atom_site_fract_z
_atom_site_occupancy
Bi1 Bi 0.000 0.500 0.000 1
Bi2 Bi 0.500 0.000 0.000 1
Bi3 Bi 0.000 0.000 0.500 1
C1 C 0.500 0.500 0.500 1
Ga1 Ga 0.000 0.000 0.000 1

Record 11
# Ga3BiC PBE relaxed
# Calculated formation energy ... 591 meV/atom
# Energy relative to the lowest polymorph listed for this composition ... 0.0 meV per atom
data_Ga3BiC
_chemical_formula_sum 'Ga3 Bi1 C1'
_cell_length_a 4.510
_cell_length_b 4.510
_cell_length_c 4.510
_cell_angle_alpha 90.00
_cell_angle_beta 90.00
_cell_angle_gamma 90.00
_space_group_name_H-M_alt 'P 1'
_space_group_IT_number 1
loop_
_space_group_symop_operation_xyz
'x,y,z'
loop_
_atom_site_label
_atom_site_type_symbol
_atom_site_fract_x
_atom_site_fract_y
_atom_site_fract_z
_atom_site_occupancy
Ga1 Ga 0.000 0.000 0.500 1
Ga2 Ga 0.500 0.000 0.000 1
Ga3 Ga 0.000 0.500 0.000 1
C1 C 0.000 0.000 0.000 1
Bi1 Bi 0.500 0.500 0.500 1

Record 12
# Ga3BiC PBE relaxed
# Calculated formation energy ... 1899 meV/atom
# Energy relative to the lowest polymorph listed for this composition ... 1307.5 meV per atom
data_Ga3BiC
_chemical_formula_sum 'Ga3 Bi1 C1'
_cell_length_a 5.657
_cell_length_b 5.657
_cell_length_c 5.657
_cell_angle_alpha 90.00
_cell_angle_beta 90.00
_cell_angle_gamma 90.00
_space_group_name_H-M_alt 'P 1'
_space_group_IT_number 1
loop_
_space_group_symop_operation_xyz
'x,y,z'
loop_
_atom_site_label
_atom_site_type_symbol
_atom_site_fract_x
_atom_site_fract_y
_atom_site_fract_z
_atom_site_occupancy
Bi1 Bi 0.000 0.000 0.000 1
Ga1 Ga 0.000 0.000 0.500 1
Ga2 Ga 0.500 0.000 0.000 1
Ga3 Ga 0.000 0.500 0.000 1
C1 C 0.500 0.500 0.500 1

Record 13
# MgGa2BiC PBE relaxed
# Calculated formation energy ... 1841 meV/atom
data_MgGa2BiC
_chemical_formula_sum 'Mg1 Ga2 Bi1 C1'
_cell_length_a 5.912
_cell_length_b 5.523
_cell_length_c 5.912
_cell_angle_alpha 90.00
_cell_angle_beta 90.00
_cell_angle_gamma 90.00
_space_group_name_H-M_alt 'P 1'
_space_group_IT_number 1
loop_
_space_group_symop_operation_xyz
'x,y,z'
loop_
_atom_site_label
_atom_site_type_symbol
_atom_site_fract_x
_atom_site_fract_y
_atom_site_fract_z
_atom_site_occupancy
Ga1 Ga 0.000 0.000 0.500 1
Ga2 Ga 0.500 0.000 0.000 1
C1 C 0.500 0.500 0.500 1
Mg1 Mg 0.000 0.500 0.000 1
Bi1 Bi 0.000 0.000 0.000 1

Record 14
First-principles (PBE) data for an optimized crystal structure of GaBiC2O, as listed in Alexandria via LeMat-Bulk.

The structure in CIF format:
```
data_GaBiC2O
_chemical_formula_sum 'Ga1 Bi1 C2 O1'
_cell_length_a 4.324
_cell_length_b 3.827
_cell_length_c 4.324
_cell_angle_alpha 90.00
_cell_angle_beta 90.00
_cell_angle_gamma 90.00
_space_group_name_H-M_alt 'P 1'
_space_group_IT_number 1
loop_
_space_group_symop_operation_xyz
'x,y,z'
loop_
_atom_site_label
_atom_site_type_symbol
_atom_site_fract_x
_atom_site_fract_y
_atom_site_fract_z
_atom_site_occupancy
O1 O 0.000 0.000 0.000 1
Bi1 Bi 0.500 0.500 0.500 1
C1 C 0.500 0.000 0.000 1
C2 C 0.000 0.000 0.500 1
Ga1 Ga 0.000 0.500 0.000 1
```

Record 15
# Sc4GaBiC PBE relaxed
# Calculated formation energy ... -645 meV/atom
data_Sc4GaBiC
_chemical_formula_sum 'Sc8 Ga2 Bi2 C2'
_cell_length_a 6.288
_cell_length_b 6.295
_cell_length_c 8.044
_cell_angle_alpha 90.00
_cell_angle_beta 113.01
_cell_angle_gamma 90.00
_space_group_name_H-M_alt 'P 1'
_space_group_IT_number 1
loop_
_space_group_symop_operation_xyz
'x,y,z'
loop_
_atom_site_label
_atom_site_type_symbol
_atom_site_fract_x
_atom_site_fract_y
_atom_site_fract_z
_atom_site_occupancy
C1 C 0.247 0.750 0.494 1
C2 C 0.753 0.250 0.506 1
Sc1 Sc 0.089 0.750 0.177 1
Sc2 Sc 0.000 0.000 0.500 1
Sc3 Sc 0.500 0.000 0.500 1
Sc4 Sc 0.000 0.500 0.500 1
Sc5 Sc 0.500 0.500 0.500 1
Sc6 Sc 0.600 0.250 0.200 1
Sc7 Sc 0.911 0.250 0.823 1
Sc8 Sc 0.400 0.750 0.800 1
Bi1 Bi 0.602 0.750 0.204 1
Bi2 Bi 0.398 0.250 0.796 1
Ga1 Ga 0.114 0.250 0.228 1
Ga2 Ga 0.886 0.750 0.772 1

Record 16
# Y4GaBiC PBE relaxed
# Calculated formation energy ... -590 meV/atom
data_Y4GaBiC
_chemical_formula_sum 'Y8 Ga2 Bi2 C2'
_cell_length_a 6.779
_cell_length_b 6.785
_cell_length_c 8.573
_cell_angle_alpha 90.00
_cell_angle_beta 113.29
_cell_angle_gamma 90.00
_space_group_name_H-M_alt 'P 1'
_space_group_IT_number 1
loop_
_space_group_symop_operation_xyz
'x,y,z'
loop_
_atom_site_label
_atom_site_type_symbol
_atom_site_fract_x
_atom_site_fract_y
_atom_site_fract_z
_atom_site_occupancy
Y1 Y 0.500 0.500 0.500 1
Y2 Y 0.000 0.000 0.500 1
Y3 Y 0.000 0.500 0.500 1
Y4 Y 0.406 0.750 0.811 1
Y5 Y 0.083 0.750 0.166 1
Y6 Y 0.594 0.250 0.189 1
Y7 Y 0.917 0.250 0.834 1
Y8 Y 0.500 0.000 0.500 1
C1 C 0.751 0.250 0.502 1
C2 C 0.249 0.750 0.498 1
Bi1 Bi 0.606 0.750 0.211 1
Bi2 Bi 0.394 0.250 0.789 1
Ga1 Ga 0.884 0.750 0.767 1
Ga2 Ga 0.116 0.250 0.233 1

Record 17
# Y2GaBiC PBE relaxed
# Calculated formation energy ... 1150 meV/atom
data_Y2GaBiC
_chemical_formula_sum 'Y2 Ga1 Bi1 C1'
_cell_length_a 5.858
_cell_length_b 4.446
_cell_length_c 5.858
_cell_angle_alpha 90.00
_cell_angle_beta 90.00
_cell_angle_gamma 90.00
_space_group_name_H-M_alt 'P 1'
_space_group_IT_number 1
loop_
_space_group_symop_operation_xyz
'x,y,z'
loop_
_atom_site_label
_atom_site_type_symbol
_atom_site_fract_x
_atom_site_fract_y
_atom_site_fract_z
_atom_site_occupancy
Y1 Y 0.500 0.000 0.000 1
Y2 Y 0.000 0.000 0.500 1
C1 C 0.000 0.500 0.000 1
Bi1 Bi 0.000 0.000 0.000 1
Ga1 Ga 0.500 0.500 0.500 1

Record 18
# Gd3BiC PBE relaxed
# Calculated formation energy ... -545 meV/atom
data_Gd3BiC
_chemical_formula_sum 'Gd3 Bi1 C1'
_cell_length_a 4.980
_cell_length_b 4.980
_cell_length_c 4.980
_cell_angle_alpha 90.00
_cell_angle_beta 90.00
_cell_angle_gamma 90.00
_space_group_name_H-M_alt 'P 1'
_space_group_IT_number 1
loop_
_space_group_symop_operation_xyz
'x,y,z'
loop_
_atom_site_label
_atom_site_type_symbol
_atom_site_fract_x
_atom_site_fract_y
_atom_site_fract_z
_atom_site_occupancy
Gd1 Gd 0.000 0.000 0.500 1
Gd2 Gd 0.500 0.000 0.000 1
Gd3 Gd 0.000 0.500 0.000 1
C1 C 0.000 0.000 0.000 1
Bi1 Bi 0.500 0.500 0.500 1

Record 19
# GeBiC3 PBE relaxed
# Calculated formation energy ... 2390 meV/atom
# Energy relative to the lowest polymorph listed for this composition ... 0.0 meV per atom
data_GeBiC3
_chemical_formula_sum 'Ge1 Bi1 C3'
_cell_length_a 4.085
_cell_length_b 4.085
_cell_length_c 4.085
_cell_angle_alpha 90.00
_cell_angle_beta 90.00
_cell_angle_gamma 90.00
_space_group_name_H-M_alt 'P 1'
_space_group_IT_number 1
loop_
_space_group_symop_operation_xyz
'x,y,z'
loop_
_atom_site_label
_atom_site_type_symbol
_atom_site_fract_x
_atom_site_fract_y
_atom_site_fract_z
_atom_site_occupancy
C1 C 0.500 0.000 0.000 1
C2 C 0.000 0.500 0.000 1
C3 C 0.000 0.000 0.500 1
Bi1 Bi 0.500 0.500 0.500 1
Ge1 Ge 0.000 0.000 0.000 1

Record 20
# Ge3BiC PBE relaxed
# Calculated formation energy ... 2363 meV/atom
# Energy relative to the lowest polymorph listed for this composition ... 1474.6 meV per atom
data_Ge3BiC
_chemical_formula_sum 'Ge3 Bi1 C1'
_cell_length_a 5.587
_cell_length_b 5.587
_cell_length_c 5.587
_cell_angle_alpha 90.00
_cell_angle_beta 90.00
_cell_angle_gamma 90.00
_space_group_name_H-M_alt 'P 1'
_space_group_IT_number 1
loop_
_space_group_symop_operation_xyz
'x,y,z'
loop_
_atom_site_label
_atom_site_type_symbol
_atom_site_fract_x
_atom_site_fract_y
_atom_site_fract_z
_atom_site_occupancy
Ge1 Ge 0.500 0.000 0.000 1
Ge2 Ge 0.000 0.000 0.500 1
Ge3 Ge 0.000 0.500 0.000 1
C1 C 0.500 0.500 0.500 1
Bi1 Bi 0.000 0.000 0.000 1

E: -5.4057, -3.9070, -7.6403, -7.2659, -2.3179, -6.1688, -3.6754, -4.0672, -3.8630, -2.9574, -3.8459, -2.5384, -2.3100, -4.2070, -6.5676, -6.5887, -4.6620, -11.6145, -4.8435, -3.0280 (eV per atom)
Spin magnetization: 8.32, 1.74, 2.83, 2.43, 0.28, 5.06, 0.00, 0.00, 0.00, 1.71, 0.00, 2.10, 2.32, 0.00, 0.00, 0.00, 0.00, 21.62, 0.00, 1.13 (μB/cell)
V: 21.08, 25.20, 24.77, 20.37, 27.24, 20.47, 21.50, 27.18, 25.73, 32.83, 18.34, 36.21, 38.61, 14.31, 20.93, 25.87, 30.52, 24.70, 13.63, 34.88 (A^3/atom)